Entry 1:
VASP calculation (PBE) on Tm4CoRh after structural relaxation.

Unit cell a=7.469 b=7.469 c=7.469 alpha=106.57 beta=106.57 gamma=115.44
Atoms (fractional coordinates):
Tm 0.183 0.486 0.698
Tm 0.236 0.038 0.802
Tm 0.236 0.433 0.198
Tm 0.295 0.000 0.295
Tm 0.705 0.000 0.705
Tm 0.750 0.545 0.795
Tm 0.750 0.955 0.205
Tm 0.788 0.486 0.302
Co 0.740 0.240 0.500
Co 0.990 0.990 0.000
Rh 0.246 0.746 0.500
Rh 0.496 0.496 0.000

The total moment is 0.00 μB/atom. The total energy comes out at -5.749 eV per atom. As for the space group: I4_1md, No. 109. The energy of formation is -358.0 meV/atom. The offset from the most stable computed form is 93 meV/atom.

Entry 2:
VASP calculation (PBE) on Tl2CdRe after structural relaxation.

Unit cell a=7.185 b=7.185 c=7.185 alpha=90.00 beta=90.00 gamma=90.00
Atoms (fractional coordinates):
Tl 0.000 0.000 0.000
Tl 0.000 0.500 0.500
Tl 0.250 0.250 0.250
Tl 0.250 0.750 0.750
Tl 0.500 0.000 0.500
Tl 0.500 0.500 0.000
Tl 0.750 0.250 0.750
Tl 0.750 0.750 0.250
Cd 0.250 0.250 0.750
Cd 0.250 0.750 0.250
Cd 0.750 0.250 0.250
Cd 0.750 0.750 0.750
Re 0.000 0.000 0.500
Re 0.000 0.500 0.000
Re 0.500 0.000 0.000
Re 0.500 0.500 0.500

The total moment is 0.60 μB/atom. The total energy comes out at -3.418 eV per atom. As for the space group: F-43m, No. 216. The energy of formation is 1105.5 meV/atom. The offset from the most stable computed form is 454 meV/atom.

Entry 3:
VASP calculation (PBE) on Pr3Te2C after structural relaxation.

Unit cell a=7.757 b=7.757 c=8.104 alpha=105.06 beta=105.06 gamma=47.60
Atoms (fractional coordinates):
Pr 0.049 0.951 0.750
Pr 0.371 0.374 0.435
Pr 0.374 0.371 0.935
Pr 0.626 0.629 0.065
Pr 0.629 0.626 0.565
Pr 0.951 0.049 0.250
Te 0.178 0.180 0.090
Te 0.180 0.178 0.590
Te 0.820 0.822 0.410
Te 0.822 0.820 0.910
C 0.453 0.547 0.750
C 0.547 0.453 0.250

The total moment is 0.00 μB/atom. The total energy comes out at -5.920 eV per atom. The uncorrected formation energy comes out at -91 kJ per mole of atoms. As for the space group: C2/c, No. 15. The offset from the most stable computed form is 26 meV/atom.

Entry 4:
VASP calculation (PBE) on PmNd2Y3Sb6 after structural relaxation.

Unit cell a=9.953 b=9.953 c=8.901 alpha=102.80 beta=102.80 gamma=25.87
Atoms (fractional coordinates):
Pm 0.000 0.000 0.000
Nd 0.334 0.334 0.667
Nd 0.666 0.666 0.333
Y 0.000 0.000 0.500
Y 0.333 0.333 0.167
Y 0.667 0.667 0.833
Sb 0.165 0.165 0.588
Sb 0.168 0.168 0.078
Sb 0.498 0.498 0.253
Sb 0.502 0.502 0.747
Sb 0.832 0.832 0.922
Sb 0.835 0.835 0.412

The total moment is 0.00 μB/atom. The total energy comes out at -6.043 eV per atom. The uncorrected formation energy comes out at -113 kJ per mole of atoms. As for the space group: C2/m, No. 12.

Entry 5:
VASP calculation (PBE) on ZrScCuAg after structural relaxation.

Unit cell a=6.733 b=6.733 c=6.733 alpha=90.00 beta=90.00 gamma=90.00
Atoms (fractional coordinates):
Zr 0.000 0.000 0.000
Zr 0.000 0.500 0.500
Zr 0.500 0.000 0.500
Zr 0.500 0.500 0.000
Sc 0.000 0.000 0.500
Sc 0.000 0.500 0.000
Sc 0.500 0.000 0.000
Sc 0.500 0.500 0.500
Cu 0.250 0.250 0.750
Cu 0.250 0.750 0.250
Cu 0.750 0.250 0.250
Cu 0.750 0.750 0.750
Ag 0.250 0.250 0.250
Ag 0.250 0.750 0.750
Ag 0.750 0.250 0.750
Ag 0.750 0.750 0.250

The total moment is 0.17 μB/atom. The total energy comes out at -5.556 eV per atom. As for the space group: F-43m, No. 216. The energy of formation is -98.9 meV/atom.

Entry 6:
VASP calculation (PBE) on Ag7Se2BrF2 after structural relaxation.

Unit cell a=10.722 b=10.722 c=10.722 alpha=154.63 beta=38.40 gamma=151.66
Atoms (fractional coordinates):
Ag 0.000 0.000 0.000
Ag 0.121 0.713 0.408
Ag 0.258 0.985 0.273
Ag 0.304 0.713 0.592
Ag 0.432 0.550 0.882
Ag 0.668 0.550 0.118
Ag 0.711 0.985 0.727
Se 0.176 0.047 0.129
Se 0.918 0.047 0.871
Br 0.614 0.114 0.500
F 0.280 0.522 0.758
F 0.763 0.522 0.242

The total moment is 0.00 μB/atom. The total energy comes out at -3.072 eV per atom. The uncorrected formation energy comes out at -36 kJ per mole of atoms. As for the space group: Imm2, No. 44.

Entry 7:
VASP calculation (PBE) on HfTiMnCo after structural relaxation.

Unit cell a=3.071 b=3.071 c=6.081 alpha=90.00 beta=90.00 gamma=90.00
Atoms (fractional coordinates):
Hf 0.000 0.000 0.000
Ti 0.000 0.000 0.492
Mn 0.500 0.500 0.263
Co 0.500 0.500 0.737

The total moment is 0.03 μB/atom. The total energy comes out at -8.860 eV per atom. As for the space group: P4mm, No. 99. The energy of formation is -329.4 meV/atom.

Entry 8:
VASP calculation (PBE) on SrZnW after structural relaxation.

Unit cell a=3.433 b=3.433 c=11.545 alpha=90.00 beta=90.00 gamma=90.00
Atoms (fractional coordinates):
Sr 0.000 0.000 0.000
Sr 0.500 0.500 0.500
Zn 0.000 0.000 0.711
Zn 0.500 0.500 0.211
W 0.000 0.000 0.297
W 0.500 0.500 0.797

The total moment is 0.27 μB/atom. The total energy comes out at -4.476 eV per atom. As for the space group: I4mm, No. 107. The energy of formation is 826.5 meV/atom. The offset from the most stable computed form is 0 meV/atom.

Entry 9:
VASP calculation (PBE) on PaBiPd4 after structural relaxation.

Unit cell a=5.449 b=5.449 c=5.449 alpha=60.00 beta=60.00 gamma=60.00
Atoms (fractional coordinates):
Pa 0.000 0.000 0.000
Bi 0.750 0.750 0.750
Pd 0.374 0.374 0.374
Pd 0.374 0.374 0.877
Pd 0.374 0.877 0.374
Pd 0.877 0.374 0.374

The total moment is 0.04 μB/atom. The total energy comes out at -6.140 eV per atom. As for the space group: F-43m, No. 216. The energy of formation is -448.4 meV/atom.

Entry 10:
VASP calculation (PBE) on Ti2IrRu after structural relaxation.

Unit cell a=2.770 b=4.816 c=9.568 alpha=90.00 beta=90.00 gamma=90.00
Atoms (fractional coordinates):
Ti 0.000 0.000 0.246
Ti 0.000 0.000 0.754
Ti 0.500 0.500 0.254
Ti 0.500 0.500 0.746
Ir 0.000 0.000 0.500
Ir 0.500 0.500 0.000
Ru 0.000 0.000 0.000
Ru 0.500 0.500 0.500

The total moment is 0.00 μB/atom. The total energy comes out at -8.379 eV per atom. As for the space group: Immm, No. 71. The energy of formation is 102.4 meV/atom.

Entry 11:
VASP calculation (PBE) on Zn2InP2 after structural relaxation.

Unit cell a=3.836 b=3.836 c=13.708 alpha=90.00 beta=90.00 gamma=90.00
Atoms (fractional coordinates):
Zn 0.000 0.500 0.250
Zn 0.000 0.500 0.750
Zn 0.500 0.000 0.250
Zn 0.500 0.000 0.750
In 0.000 0.000 0.000
In 0.500 0.500 0.500
P 0.000 0.000 0.363
P 0.000 0.000 0.637
P 0.500 0.500 0.137
P 0.500 0.500 0.863

The total moment is 0.00 μB/atom. The total energy comes out at -3.194 eV per atom. As for the space group: I4/mmm, No. 139. The energy of formation is 27.4 meV/atom. The offset from the most stable computed form is 0 meV/atom.

Entry 12:
VASP calculation (PBE) on AlBS after structural relaxation.

Unit cell a=3.293 b=3.332 c=10.682 alpha=86.34 beta=85.34 gamma=61.44
Atoms (fractional coordinates):
Al 0.012 0.049 0.193
Al 0.988 0.951 0.807
B 0.184 0.131 0.995
B 0.816 0.869 0.005
S 0.325 0.380 0.304
S 0.675 0.620 0.696

The total moment is 0.00 μB/atom. The total energy comes out at -5.219 eV per atom. The uncorrected formation energy comes out at -36 kJ per mole of atoms. As for the space group: P-1, No. 2. The offset from the most stable computed form is 8 meV/atom.

Entry 13:
VASP calculation (PBE) on NpTe4Pb2 after structural relaxation.

Unit cell a=8.002 b=8.002 c=14.854 alpha=90.00 beta=90.00 gamma=148.67
Atoms (fractional coordinates):
Np 0.116 0.884 0.750
Np 0.884 0.116 0.250
Te 0.000 0.000 0.000
Te 0.000 0.000 0.500
Te 0.288 0.712 0.130
Te 0.288 0.712 0.370
Te 0.476 0.524 0.750
Te 0.524 0.476 0.250
Te 0.712 0.288 0.630
Te 0.712 0.288 0.870
Pb 0.367 0.633 0.568
Pb 0.367 0.633 0.932
Pb 0.633 0.367 0.068
Pb 0.633 0.367 0.432

The total moment is 0.45 μB/atom. The total energy comes out at -5.086 eV per atom. The uncorrected formation energy comes out at -37 kJ per mole of atoms. As for the space group: Cmcm, No. 63.

Entry 14:
VASP calculation (PBE) on Tm8Sn2Rh after structural relaxation.

Unit cell a=9.785 b=9.785 c=6.571 alpha=104.25 beta=104.25 gamma=29.14
Atoms (fractional coordinates):
Tm 0.020 0.020 0.282
Tm 0.218 0.218 0.822
Tm 0.356 0.356 0.498
Tm 0.410 0.410 0.037
Tm 0.590 0.590 0.963
Tm 0.644 0.644 0.502
Tm 0.782 0.782 0.178
Tm 0.980 0.980 0.718
Sn 0.182 0.182 0.261
Sn 0.818 0.818 0.739
Rh 0.500 0.500 0.500

The total moment is 0.00 μB/atom. The total energy comes out at -5.094 eV per atom. As for the space group: C2/m, No. 12. The energy of formation is -445.5 meV/atom.

Entry 15:
VASP calculation (PBE) on YTmGaPt after structural relaxation.

Unit cell a=7.039 b=7.039 c=7.039 alpha=90.00 beta=90.00 gamma=90.00
Atoms (fractional coordinates):
Y 0.000 0.000 0.000
Y 0.000 0.500 0.500
Y 0.500 0.000 0.500
Y 0.500 0.500 0.000
Tm 0.000 0.000 0.500
Tm 0.000 0.500 0.000
Tm 0.500 0.000 0.000
Tm 0.500 0.500 0.500
Ga 0.250 0.250 0.750
Ga 0.250 0.750 0.250
Ga 0.750 0.250 0.250
Ga 0.750 0.750 0.750
Pt 0.250 0.250 0.250
Pt 0.250 0.750 0.750
Pt 0.750 0.250 0.750
Pt 0.750 0.750 0.250

The total moment is 0.00 μB/atom. The total energy comes out at -5.887 eV per atom. As for the space group: F-43m, No. 216. The energy of formation is -886.2 meV/atom. The offset from the most stable computed form is 67 meV/atom.

Entry 16:
VASP calculation (PBE) on PmTm9In2 after structural relaxation.

Unit cell a=4.821 b=4.821 c=14.774 alpha=90.00 beta=90.00 gamma=90.00
Atoms (fractional coordinates):
Pm 0.000 0.000 0.000
Tm 0.000 0.500 0.174
Tm 0.000 0.500 0.500
Tm 0.000 0.500 0.826
Tm 0.500 0.000 0.174
Tm 0.500 0.000 0.500
Tm 0.500 0.000 0.826
Tm 0.500 0.500 0.000
Tm 0.500 0.500 0.339
Tm 0.500 0.500 0.661
In 0.000 0.000 0.339
In 0.000 0.000 0.661

The total moment is 0.00 μB/atom. The total energy comes out at -4.362 eV per atom. As for the space group: P4/mmm, No. 123. The energy of formation is -156.0 meV/atom.

Entry 17:
VASP calculation (PBE) on YTi2PtN after structural relaxation.

Unit cell a=4.130 b=4.130 c=4.735 alpha=90.00 beta=90.00 gamma=90.00
Atoms (fractional coordinates):
Y 0.000 0.000 0.000
Ti 0.000 0.500 0.500
Ti 0.500 0.000 0.500
Pt 0.500 0.500 0.000
N 0.000 0.000 0.500

The total moment is 0.07 μB/atom. The total energy comes out at -8.375 eV per atom. The uncorrected formation energy comes out at -101 kJ per mole of atoms. As for the space group: P4/mmm, No. 123. The offset from the most stable computed form is 0 meV/atom.

Entry 18:
VASP calculation (PBE) on Cs2TiAgBr6 after structural relaxation.

Unit cell a=13.835 b=13.835 c=13.835 alpha=32.81 beta=32.81 gamma=32.81
Atoms (fractional coordinates):
Cs 0.124 0.124 0.124
Cs 0.293 0.293 0.293
Cs 0.707 0.707 0.707
Cs 0.876 0.876 0.876
Ti 0.000 0.000 0.000
Ti 0.500 0.500 0.500
Ag 0.413 0.413 0.413
Ag 0.587 0.587 0.587
Br 0.144 0.621 0.621
Br 0.196 0.196 0.724
Br 0.196 0.724 0.196
Br 0.276 0.804 0.804
Br 0.379 0.379 0.856
Br 0.379 0.856 0.379
Br 0.621 0.144 0.621
Br 0.621 0.621 0.144
Br 0.724 0.196 0.196
Br 0.804 0.276 0.804
Br 0.804 0.804 0.276
Br 0.856 0.379 0.379

The total moment is 0.10 μB/atom. The total energy comes out at -3.533 eV per atom. The uncorrected formation energy comes out at -124 kJ per mole of atoms. As for the space group: R-3m, No. 166. The offset from the most stable computed form is 0 meV/atom.

Entry 19:
VASP calculation (PBE) on Tc6C7 after structural relaxation.

Unit cell a=8.829 b=8.829 c=8.829 alpha=28.18 beta=28.18 gamma=28.18
Atoms (fractional coordinates):
Tc 0.083 0.083 0.083
Tc 0.198 0.198 0.198
Tc 0.307 0.307 0.307
Tc 0.693 0.693 0.693
Tc 0.802 0.802 0.802
Tc 0.917 0.917 0.917
C 0.169 0.531 0.531
C 0.469 0.469 0.831
C 0.469 0.831 0.469
C 0.500 0.500 0.500
C 0.531 0.169 0.531
C 0.531 0.531 0.169
C 0.831 0.469 0.469

The total moment is 0.00 μB/atom. The total energy comes out at -8.671 eV per atom. As for the space group: R-3m, No. 166. The energy of formation is 1079.8 meV/atom.

Entry 20:
VASP calculation (PBE) on CsBa2ZnPt after structural relaxation.

Unit cell a=6.302 b=6.302 c=5.198 alpha=90.00 beta=90.00 gamma=90.00
Atoms (fractional coordinates):
Cs 0.000 0.000 0.000
Ba 0.000 0.500 0.500
Ba 0.500 0.000 0.500
Zn 0.500 0.500 0.000
Pt 0.500 0.500 0.500

The total moment is 0.00 μB/atom. The total energy comes out at -2.614 eV per atom. As for the space group: P4/mmm, No. 123. The energy of formation is -211.7 meV/atom.

Entry 21:
VASP calculation (PBE) on Y2ScOs after structural relaxation.

Unit cell a=9.497 b=9.497 c=5.265 alpha=90.00 beta=90.00 gamma=90.00
Atoms (fractional coordinates):
Y 0.127 0.250 0.125
Y 0.250 0.627 0.375
Y 0.250 0.873 0.875
Y 0.373 0.250 0.625
Y 0.627 0.750 0.625
Y 0.750 0.127 0.875
Y 0.750 0.373 0.375
Y 0.873 0.750 0.125
Sc 0.000 0.000 0.500
Sc 0.000 0.500 0.750
Sc 0.500 0.000 0.250
Sc 0.500 0.500 0.000
Os 0.000 0.000 0.000
Os 0.000 0.500 0.250
Os 0.500 0.000 0.750
Os 0.500 0.500 0.500

The total moment is 0.00 μB/atom. The total energy comes out at -7.413 eV per atom. As for the space group: I-42d, No. 122. The energy of formation is 209.0 meV/atom. The offset from the most stable computed form is 473 meV/atom.

Entry 22:
VASP calculation (PBE) on RbF4 after structural relaxation.

Unit cell a=6.145 b=6.145 c=6.145 alpha=121.12 beta=121.12 gamma=88.08
Atoms (fractional coordinates):
Rb 0.250 0.750 0.500
Rb 0.750 0.250 0.500
F 0.000 0.000 0.000
F 0.196 0.196 0.000
F 0.289 0.289 0.578
F 0.289 0.711 0.000
F 0.500 0.500 0.000
F 0.711 0.289 0.000
F 0.711 0.711 0.422
F 0.804 0.804 0.000

The total moment is 0.00 μB/atom. The total energy comes out at -2.734 eV per atom. The uncorrected formation energy comes out at -101 kJ per mole of atoms. As for the space group: I4/mmm, No. 139. The offset from the most stable computed form is 115 meV/atom.

Entry 23:
VASP calculation (PBE) on CsSbTe2Pt after structural relaxation.

Unit cell a=6.290 b=6.290 c=6.284 alpha=90.00 beta=90.00 gamma=90.00
Atoms (fractional coordinates):
Cs 0.000 0.000 0.000
Sb 0.000 0.000 0.500
Te 0.000 0.500 0.000
Te 0.500 0.000 0.000
Pt 0.500 0.500 0.500

The total moment is 0.48 μB/atom. The total energy comes out at -1.556 eV per atom. The uncorrected formation energy comes out at 184 kJ per mole of atoms. As for the space group: P4/mmm, No. 123. The offset from the most stable computed form is 2061 meV/atom.

Entry 24:
VASP calculation (PBE) on Mg6TiCdO8 after structural relaxation.

Unit cell a=4.369 b=4.369 c=8.867 alpha=90.00 beta=90.00 gamma=90.00
Atoms (fractional coordinates):
Mg 0.000 0.000 0.000
Mg 0.000 0.000 0.500
Mg 0.000 0.500 0.248
Mg 0.000 0.500 0.752
Mg 0.500 0.000 0.248
Mg 0.500 0.000 0.752
Ti 0.500 0.500 0.000
Cd 0.500 0.500 0.500
O 0.000 0.000 0.248
O 0.000 0.000 0.752
O 0.000 0.500 0.000
O 0.000 0.500 0.500
O 0.500 0.000 0.000
O 0.500 0.000 0.500
O 0.500 0.500 0.236
O 0.500 0.500 0.764

The total moment is 0.11 μB/atom. The total energy comes out at -5.947 eV per atom. The uncorrected formation energy comes out at -224 kJ per mole of atoms. As for the space group: P4/mmm, No. 123. The offset from the most stable computed form is 2 meV/atom.

Across the entries above, D(E_F) takes the values 7.51, 16.44, 4.74, 1.94, 24.21, 1.38, 2.39, 7.10, 7.88, 4.54, 4.03, 0.87, 21.00, 9.18, 13.60, 12.16, 6.45, 14.19, 5.07, 4.53, 23.41, 0.00, 11.64, 3.84 states/eV per cell, respectively.